Record 1
Entry from Alexandria via LeMat-Bulk: crystalline MgPtRh at its relaxed geometry (PBE).

Results
Space group   No. 107
Distance to the lowest polymorph of the same formula   0.000 eV/atom
Energy of formation from the pure elements   -1.179 eV per formula unit

POSCAR file:
```
MgPtRh
1.0
6.179 0.001 -0.001
5.541 2.735 -0.001
0.638 0.148 2.729
Pt Mg Rh
1 1 1
direct
0.334 0.334 0.666 Pt
0.000 0.000 0.000 Mg
0.666 0.666 0.334 Rh
```

=====

Record 2
Entry from Alexandria via LeMat-Bulk: crystalline Ti2SiH3 at its relaxed geometry (PBE).

Results
Space group   No. 12
DFT total energy   -67.45 eV per cell

POSCAR file:
```
Ti2SiH3
1.0
3.259 0.000 0.000
-1.629 5.955 0.057
0.000 -2.616 5.589
Ti H Si
4 6 2
direct
0.533 0.066 0.280 Ti
0.792 0.583 0.282 Ti
0.208 0.417 0.718 Ti
0.467 0.934 0.720 Ti
0.699 0.398 0.480 H
0.928 0.856 0.567 H
0.072 0.144 0.433 H
0.301 0.602 0.520 H
0.603 0.206 0.641 H
0.397 0.794 0.359 H
0.114 0.227 0.039 Si
0.886 0.773 0.961 Si
```

=====

Record 3
Entry from Alexandria via LeMat-Bulk: crystalline HgTeN2Cl at its relaxed geometry (PBE).

Results
Space group   No. 123
Formation energy from raw total energies   8.91 eV per formula unit
Distance to the lowest polymorph of the same formula   0.000 eV/atom

POSCAR file:
```
HgTeN2Cl
1.0
-1.157 0.075 4.145
-3.531 -2.273 -0.944
3.376 -5.677 1.045
Te Cl Hg N
1 1 1 2
direct
0.000 0.000 0.500 Te
0.500 0.500 0.500 Cl
0.000 0.000 0.000 Hg
0.000 0.500 0.000 N
0.500 0.000 0.000 N
```

=====

Record 4
Entry from Alexandria via LeMat-Bulk: crystalline CaPmSmOs at its relaxed geometry (PBE).

Results
Space group   No. 216
Energy of formation from the pure elements   0.665 eV per formula unit

POSCAR file:
```
CaPmSmOs
1.0
5.217 0.000 0.000
2.608 4.518 0.000
2.608 1.506 4.259
Pm Os Sm Ca
1 1 1 1
direct
0.000 0.000 0.000 Pm
0.750 0.750 0.750 Os
0.500 0.500 0.500 Sm
0.250 0.250 0.250 Ca
```

=====

Record 5
Entry from Alexandria via LeMat-Bulk: crystalline PrPuMg2 at its relaxed geometry (PBE).

Results
Space group   No. 123
Distance to the lowest polymorph of the same formula   0.033 eV/atom
Energy of formation from the pure elements   0.448 eV per formula unit

POSCAR file:
```
PrPuMg2
1.0
-3.744 -0.560 -3.161
1.356 -4.507 -0.808
-2.797 -1.482 3.575
Pu Mg Pr
1 2 1
direct
0.500 0.500 0.500 Pu
0.000 0.000 0.500 Mg
0.000 0.500 0.000 Mg
0.500 0.000 0.000 Pr
```

=====

Record 6
Entry from Alexandria via LeMat-Bulk: crystalline Na2InBi2 at its relaxed geometry (PBE).

Results
Space group   No. 12
Distance to the lowest polymorph of the same formula   0.061 eV/atom
Energy of formation from the pure elements   -0.839 eV per formula unit

POSCAR file:
```
Na2InBi2
1.0
4.999 0.000 1.630
2.304 4.890 1.414
0.690 0.225 6.364
Na In Bi
2 1 2
direct
0.204 0.210 0.382 Na
0.796 0.790 0.618 Na
0.000 0.000 0.000 In
0.416 0.398 0.770 Bi
0.584 0.602 0.230 Bi
```

=====

Record 7
Entry from Alexandria via LeMat-Bulk: crystalline Be3VZn at its relaxed geometry (PBE).

Results
Space group   No. 221
Distance to the lowest polymorph of the same formula   0.000 eV/atom
Energy of formation from the pure elements   4.252 eV per formula unit

POSCAR file:
```
Be3VZn
1.0
3.991 0.000 0.000
0.000 3.991 0.000
0.000 0.000 3.991
V Be Zn
1 3 1
direct
0.500 0.500 0.500 V
0.000 0.000 0.500 Be
0.000 0.500 0.000 Be
0.500 0.000 0.000 Be
0.000 0.000 0.000 Zn
```

=====

Record 8
Entry from Alexandria via LeMat-Bulk: crystalline Ho7Ag2Ir2 at its relaxed geometry (PBE).

Results
Space group   No. 65
Energy of formation from the pure elements   -4.286 eV per formula unit

POSCAR file:
```
Ho7Ag2Ir2
1.0
6.652 -0.003 -0.737
0.003 7.040 0.003
-1.150 -0.002 6.593
Ho Ir Ag
7 2 2
direct
0.500 0.747 0.000 Ho
0.500 0.247 0.500 Ho
0.500 0.753 0.500 Ho
0.000 0.747 0.500 Ho
0.000 0.253 0.500 Ho
0.500 0.253 0.000 Ho
0.000 0.000 0.000 Ho
0.714 0.000 0.286 Ir
0.286 0.000 0.714 Ir
0.819 0.500 0.819 Ag
0.181 0.500 0.181 Ag
```

=====

The calculation returns the following theoretical density values, one per record and in order: 11.61; 3.87; 5.25; 8.70; 6.40; 6.44; 3.75; 9.62 Mg/m³.
The calculation returns the following N(E_F) values, one per record and in order: 4.011; 5.150; 2.532; 3.154; 13.757; 1.880; 3.552; 11.625 states/eV per cell.